## CaScTl2F6 (GGA-PBE)

Data for a relaxed structure of CaScTl2F6.

Its total energy is -5.383 eV per atom. As for the crystal system: orthorhombic. As for the density of states at the Fermi level: 0.35 states/eV per atom.

The structure belongs to space group Immm (No. 71); the cell edges are 6.192, 6.324 and 8.846 Å and the angles 90.00°, 90.00° and 90.00°. The asymmetric unit holds Ca at (0.000, 0.000, 0.000), Sc at (0.000, 0.000, 0.500), Tl at (0.000, 0.500, 0.248), F at (0.000, 0.000, 0.266) and F at (0.230, 0.239, 0.500).